DFT (PBE with a Hubbard U) results for BaSrCaMnO6 after structural relaxation.

Cell lengths 8.3322, 8.3322, 8.3322 Å; angles 90.00, 90.00, 90.00 degrees
With the nearest neighbours (Å) after each atom.
Space group F-43m (No. 216)
One atom of each set of equivalent atoms:
Ba 0.0000 0.0000 0.0000  12 O 2.95
Sr 0.0000 0.0000 0.5000  12 O 2.95
Ca 0.2500 0.2500 0.2500  6 O 2.26
Mn 0.2500 0.2500 0.7500  6 O 1.90
O 0.0217 0.2500 0.7500  1 Mn 1.90

The final energy is -6.343 eV per atom. The calculated volume is 578.5 Å³ per cell.